Ni3Mo3C | PBE-GGA | optimized geometry

**Density of states at the Fermi level**: 1.578 states/eV per atom
**Total DFT energy (no corrections)**: -8.50 eV/atom
**Space-group type**: No. 227
**Energy of formation**: -0.0582 eV per atom

```
Ni3Mo3C
1.0
0.000 5.536 5.536
5.536 0.000 5.536
5.536 5.536 0.000
Ni Mo C
12 12 4
Cartesian
0.000 0.000 0.000
2.768 2.768 0.000
2.768 0.000 2.768
8.764 5.077 5.077
2.309 2.309 2.309
5.996 5.996 2.309
5.996 2.309 5.996
0.000 2.768 2.768
5.077 8.764 5.077
5.077 5.077 8.764
8.764 8.764 8.764
2.309 5.996 5.996
4.152 4.152 1.908
4.152 1.908 4.152
6.397 4.152 4.152
6.921 6.921 4.676
6.921 4.676 6.921
9.165 6.921 6.921
1.908 4.152 4.152
4.152 6.397 4.152
4.152 4.152 6.397
4.676 6.921 6.921
6.921 9.165 6.921
6.921 6.921 9.165
5.536 2.768 2.768
2.768 5.536 2.768
2.768 2.768 5.536
5.536 5.536 5.536
```